DFT (PBE) results for crystalline Th6CS3N2 at its relaxed geometry.

Results
symmetry = C2/m, No. 12
crystal system = monoclinic

Lattice parameters (Å, degrees): 3.813 7.906 8.802 106.58 102.51 90.00
Atoms (fractional coordinates):
S  0.835  0.167  0.670
N  0.168  0.335  0.336
Th  0.660  0.104  0.320
Th  0.991  0.768  0.981
Th  0.325  0.435  0.650
Th  0.340  0.896  0.680
Th  0.675  0.565  0.350
Th  0.009  0.232  0.019
S  0.500  0.500  0.000
C  0.500  0.000  0.000
S  0.165  0.833  0.330
N  0.832  0.665  0.664

DFT (PBE) results for crystalline Th6C3SN2 at its relaxed geometry.

Results
symmetry = C2/m, No. 12
crystal system = monoclinic

Lattice parameters (Å, degrees): 3.785 7.637 8.516 102.78 102.84 90.00
Atoms (fractional coordinates):
C  0.168  0.831  0.337
Th  0.325  0.910  0.650
C  0.832  0.169  0.663
Th  0.332  0.418  0.664
Th  0.675  0.090  0.350
C  0.500  0.500  0.000
Th  0.668  0.582  0.336
Th  0.000  0.272  0.999
S  0.500  0.000  0.000
N  0.174  0.339  0.348
Th  0.000  0.728  0.001
N  0.826  0.661  0.652

DFT (PBE) results for crystalline Th6C2SN3 at its relaxed geometry.

Results
symmetry = C2/m, No. 12
crystal system = monoclinic

Lattice parameters (Å, degrees): 3.757 7.603 8.423 102.51 102.89 90.00
Atoms (fractional coordinates):
N  0.829  0.165  0.658
N  0.500  0.500  0.000
Th  0.675  0.091  0.350
Th  0.668  0.583  0.336
Th  0.000  0.726  0.001
Th  0.332  0.417  0.664
C  0.833  0.666  0.666
Th  0.000  0.274  0.999
S  0.500  0.000  0.000
C  0.167  0.334  0.334
Th  0.325  0.909  0.650
N  0.171  0.835  0.342

DFT (PBE) results for crystalline Th6C2S3N at its relaxed geometry.

Results
symmetry = C2/m, No. 12
crystal system = monoclinic

Lattice parameters (Å, degrees): 3.835 7.972 8.857 106.52 102.50 90.00
Atoms (fractional coordinates):
Th  0.343  0.898  0.686
C  0.165  0.330  0.330
N  0.500  0.000  0.000
S  0.831  0.166  0.663
C  0.835  0.670  0.670
Th  0.007  0.229  0.014
Th  0.675  0.563  0.350
Th  0.657  0.102  0.314
S  0.169  0.834  0.337
Th  0.325  0.437  0.650
Th  0.993  0.771  0.986
S  0.500  0.500  0.000

DFT (PBE) results for crystalline Th4CSN2 at its relaxed geometry.

Results
symmetry = P2/m, No. 10
crystal system = monoclinic

Lattice parameters (Å, degrees): 3.764 6.612 6.578 109.17 90.00 90.00
Atoms (fractional coordinates):
N  0.000  0.500  0.500
Th  0.000  0.227  0.728
Th  0.500  0.760  0.738
S  0.500  0.500  0.000
N  0.500  0.000  0.500
Th  0.000  0.773  0.272
Th  0.500  0.240  0.262
C  0.000  0.000  0.000

DFT (PBE) results for crystalline Th6C3S2N at its relaxed geometry.

Results
symmetry = C2/m, No. 12
crystal system = monoclinic

Lattice parameters (Å, degrees): 3.819 7.842 8.683 103.82 102.70 90.00
Atoms (fractional coordinates):
N  0.500  0.000  0.000
Th  0.995  0.243  0.989
S  0.832  0.663  0.663
Th  0.005  0.757  0.011
S  0.168  0.337  0.337
Th  0.666  0.062  0.332
Th  0.656  0.605  0.312
Th  0.334  0.938  0.668
C  0.500  0.500  0.000
Th  0.344  0.395  0.688
C  0.164  0.836  0.327
C  0.836  0.164  0.673

DFT (PBE) results for crystalline Ti6C3SN2 at its relaxed geometry.

Results
symmetry = C2/m, No. 12
crystal system = monoclinic

Lattice parameters (Å, degrees): 3.107 6.316 7.000 103.47 102.82 90.00
Atoms (fractional coordinates):
Ti  0.679  0.091  0.359
Ti  0.668  0.583  0.337
C  0.834  0.169  0.668
N  0.830  0.664  0.660
N  0.170  0.336  0.340
Ti  0.001  0.716  0.001
Ti  0.321  0.909  0.641
S  0.500  0.000  0.000
C  0.166  0.831  0.332
Ti  0.332  0.417  0.663
C  0.500  0.500  0.000
Ti  0.999  0.284  0.999

DFT (PBE) results for crystalline TlCSN2 at its relaxed geometry.

Results
symmetry = P4/mmm, No. 123
crystal system = tetragonal
energy above the lowest structure with this stoichiometry = 0.00 eV/f.u.

Lattice parameters (Å, degrees): 3.838 3.838 4.156 90.00 90.00 90.00
Site moments in Bohr magnetons follow the coordinates.
Atoms (fractional coordinates):
N  0.500  0.000  0.000  0.86
N  0.000  0.500  0.000  0.86
Tl  0.500  0.500  0.500  0.00
C  0.000  0.000  0.000  -0.07
S  0.000  0.000  0.500  0.17

no.,raw formation energy (eV per formula unit)
1,-18.284
2,-11.764
3,-14.160
4,-16.364
5,-10.336
6,-12.775
7,-13.777
8,11.307